[1]
## CuBrCl (PBE)

Data for crystalline CuBrCl at its relaxed geometry.

```
CuBrCl
1.0
3.287 0.000 0.000
0.000 3.287 0.000
0.000 0.000 14.561
Cu Br Cl
2 2 2
direct
0.000 0.000 0.000
0.500 0.500 0.500
0.000 0.000 0.164
0.500 0.500 0.664
0.000 0.000 0.447
0.500 0.500 0.947
```

Results
* energy above the most stable polymorph in this dataset: 196 meV per atom
* M_tot: 0.00 μB per formula unit
* VASP energy: -2.7337 eV/atom



[2]
## CuBrCl (PBE)

Data for crystalline CuBrCl at its relaxed geometry.

```
CuBrCl
1.0
3.399 0.000 0.000
1.417 6.906 0.000
0.048 2.987 7.115
Cu Br Cl
2 2 2
direct
0.247 0.000 0.245
0.753 0.000 0.755
0.353 0.762 0.732
0.647 0.238 0.268
0.165 0.210 0.777
0.835 0.790 0.223
```

Results
* energy above the most stable polymorph in this dataset: 1 meV per atom
* M_tot: 0.75 μB per formula unit
* VASP energy: -2.9289 eV/atom



[3]
## CuBr2Cl2 (PBE)

Data for crystalline CuBr2Cl2 at its relaxed geometry.

```
CuBr2Cl2
1.0
6.233 0.000 0.000
0.000 6.233 0.000
0.000 0.000 8.381
Cu Br Cl
2 4 4
direct
0.000 0.000 0.000
0.500 0.500 0.000
0.133 0.367 0.500
0.367 0.867 0.500
0.633 0.133 0.500
0.867 0.633 0.500
0.182 0.682 0.000
0.318 0.182 0.000
0.682 0.818 0.000
0.818 0.318 0.000
```

Results
* energy above the most stable polymorph in this dataset: 0 meV per atom
* M_tot: 0.01 μB per formula unit
* VASP energy: -2.3945 eV/atom



[4]
## CuBrCl4 (PBE)

Data for crystalline CuBrCl4 at its relaxed geometry.

```
CuBrCl4
1.0
0.000 4.092 4.092
4.092 0.000 4.092
4.092 4.092 0.000
Cu Br Cl
1 1 4
direct
0.000 0.000 0.000
0.750 0.750 0.750
0.374 0.374 0.374
0.374 0.374 0.877
0.374 0.877 0.374
0.877 0.374 0.374
```

Results
* energy above the most stable polymorph in this dataset: 1012 meV per atom
* M_tot: 0.24 μB per formula unit
* VASP energy: -1.3782 eV/atom